No. 1
Crystalline B2AsRh2 at its relaxed geometry. Source: the Alexandria database, functional GGA-PBE.

Calculated values
Energy (eV/atom): -6.35
ΔE to the lowest computed polymorph (meV per atom): 190
Magnetization (μB/cell): 0.0
Crystal system: tetragonal
Energy of formation from the pure elements (eV per atom): 0.19

abc: 6.392 6.392 2.855
angles: 90.00 90.00 90.00
Fractional coordinates of all 10 atoms:
As (0.000, 0.000, 0.000)
As (0.500, 0.500, 0.000)
B (0.103, 0.397, 0.000)
B (0.897, 0.603, 0.000)
B (0.397, 0.897, 0.000)
B (0.603, 0.103, 0.000)
Rh (0.666, 0.834, 0.500)
Rh (0.834, 0.334, 0.500)
Rh (0.166, 0.666, 0.500)
Rh (0.334, 0.166, 0.500)

No. 2
Crystalline B2AsRh2 at its relaxed geometry. Source: the Alexandria database, functional GGA-PBE.

Calculated values
Energy (eV/atom): -6.54
ΔE to the lowest computed polymorph (meV per atom): 0
Magnetization (μB/cell): 0.0
Crystal system: tetragonal
Energy of formation from the pure elements (eV per atom): 0.00

abc: 3.937 3.937 4.759
angles: 65.57 65.57 90.00
Fractional coordinates of all 5 atoms:
Rh (0.750, 0.250, 0.500)
Rh (0.250, 0.750, 0.500)
B (0.389, 0.389, 0.222)
B (0.611, 0.611, 0.778)
As (0.000, 0.000, 0.000)